No. 1
Entry from Alexandria: a geometry-optimized Tb2Pm3Pr4 structure (GGA-PBE).

Structure (POSCAR):
```
Tb2Pm3Pr4
1.0
-0.884 -0.420 -3.522
2.318 -2.334 1.593
-20.976 -15.943 7.166
Pr Pm Tb
4 3 2
direct
0.000 0.000 0.768 Pr
0.000 0.000 0.545 Pr
0.667 0.333 0.212 Pr
0.667 0.333 0.432 Pr
0.667 0.333 0.655 Pm
0.000 0.000 0.320 Pm
0.000 0.000 0.983 Pm
0.667 0.333 0.875 Tb
0.667 0.333 0.086 Tb
```

Calculated values
As for the formation energy: 0.0660 eV per atom. The value obtained for the volume is 35.10 Å³ per atom. As for the symmetry: P3m1, No. 156.


No. 2
Entry from Alexandria: a geometry-optimized Tb3Dy2YSe6 structure (GGA-PBE).

Structure (POSCAR):
```
Tb3Dy2YSe6
1.0
7.082 -0.022 -0.003
-3.558 6.123 -0.003
-1.179 -2.041 6.688
Se Dy Y Tb
6 2 1 3
direct
0.083 0.417 0.248 Se
0.417 0.083 0.248 Se
0.251 0.251 0.752 Se
0.583 0.917 0.752 Se
0.749 0.749 0.248 Se
0.917 0.583 0.752 Se
0.334 0.666 0.000 Dy
0.666 0.334 0.000 Dy
0.000 0.000 0.000 Y
0.834 0.166 0.500 Tb
0.500 0.500 0.500 Tb
0.166 0.834 0.500 Tb
```

Calculated values
Its formation energy without anion corrections is -1.766 eV per atom. The value obtained for the volume is 24.12 Å³ per atom. As for the symmetry: C2/m, No. 12.


Number 2 is which compound? Tb3Dy2YSe6